No. 1
A relaxed structure of YAsCl. Source: the Alexandria database, functional PBE.

Summary:
The total DFT energy (no corrections) comes out at -5.4802 eV per atom. The uncorrected formation energy is -1.1601 eV per atom. The calculation puts the density of states at the Fermi level at 1.7 states/eV/cell.

The structure in CIF format:
```
data_YAsCl
_chemical_formula_sum 'Y1 As1 Cl1'
_symmetry_space_group_name_H-M 'P 3 m 1'
_symmetry_Int_Tables_number 156
_cell_length_a 3.8284
_cell_length_b 3.8284
_cell_length_c 7.1737
_cell_angle_alpha 90.00
_cell_angle_beta 90.00
_cell_angle_gamma 120.00
loop_
_symmetry_equiv_pos_as_xyz
'x,y,z'
'-y,x-y,z'
'-x+y,-x,z'
'-y,-x,z'
'-x+y,y,z'
'x,x-y,z'
loop_
_atom_site_label
_atom_site_type_symbol
_atom_site_fract_x
_atom_site_fract_y
_atom_site_fract_z
Y1 Y 0.0000 0.0000 0.0000
As1 As 0.3333 0.6667 0.2602
Cl1 Cl 0.6667 0.3333 0.7675
```

No. 2
A relaxed structure of KBCl2. Source: the Alexandria database, functional PBE.

Summary:
The total DFT energy (no corrections) comes out at -2.6640 eV per atom. The uncorrected formation energy is 0.2030 eV per atom. The calculation puts the density of states at the Fermi level at 0.0 states/eV/cell.

The structure in CIF format:
```
data_KBCl2
_chemical_formula_sum 'K3 B3 Cl6'
_symmetry_space_group_name_H-M 'R -3 m'
_symmetry_Int_Tables_number 166
_symmetry_space_group_name_Hall '-R 3 2"'
_cell_length_a 4.1973
_cell_length_b 4.1973
_cell_length_c 24.8955
_cell_angle_alpha 90.00
_cell_angle_beta 90.00
_cell_angle_gamma 120.00
loop_
_atom_site_label
_atom_site_type_symbol
_atom_site_fract_x
_atom_site_fract_y
_atom_site_fract_z
K1 K 0.0000 0.0000 0.0000
B1 B 0.0000 0.0000 0.5000
Cl1 Cl 0.0000 0.0000 0.1123
```

No. 3
A relaxed structure of Li2Nd3Ag9. Source: the Alexandria database, functional PBE.

Summary:
The total DFT energy (no corrections) comes out at -3.3252 eV per atom. The formation enthalpy at 0 K comes out at -0.197 eV/atom. The calculation puts the density of states at the Fermi level at 16.1 states/eV/cell.

The structure in CIF format:
```
data_Li2Nd3Ag9
_chemical_formula_sum 'Li4 Nd6 Ag18'
_symmetry_space_group_name_H-M 'I m m m'
_symmetry_Int_Tables_number 71
_symmetry_space_group_name_Hall '-I 2 2'
_cell_length_a 4.6289
_cell_length_b 9.9048
_cell_length_c 13.2642
_cell_angle_alpha 90.00
_cell_angle_beta 90.00
_cell_angle_gamma 90.00
loop_
_atom_site_label
_atom_site_type_symbol
_atom_site_fract_x
_atom_site_fract_y
_atom_site_fract_z
Li1 Li 0.0000 0.1894 0.0000
Nd1 Nd 0.0000 0.0000 0.2093
Nd2 Nd 0.0000 0.0000 0.5000
Ag1 Ag 0.0000 0.2851 0.3709
Ag2 Ag 0.0000 0.3607 0.1586
Ag3 Ag 0.0000 0.5000 0.5000
```

No. 4
A relaxed structure of Tl2GaBiS4. Source: the Alexandria database, functional PBE.

Summary:
The total DFT energy (no corrections) comes out at -3.9525 eV per atom. The uncorrected formation energy is -0.4338 eV per atom.

The structure in CIF format:
```
data_Tl2GaBiS4
_chemical_formula_sum 'Tl4 Ga2 Bi2 S8'
_symmetry_space_group_name_H-M 'P m n 21'
_symmetry_Int_Tables_number 31
_cell_length_a 8.0663
_cell_length_b 9.5884
_cell_length_c 6.2495
_cell_angle_alpha 90.00
_cell_angle_beta 90.00
_cell_angle_gamma 90.00
loop_
_symmetry_equiv_pos_as_xyz
'x,y,z'
'-x+1/2,-y,z+1/2'
'-x,y,z'
'x+1/2,-y,z+1/2'
loop_
_atom_site_label
_atom_site_type_symbol
_atom_site_fract_x
_atom_site_fract_y
_atom_site_fract_z
Tl1 Tl 0.2154 0.1470 0.0000
Ga1 Ga 0.0000 0.6664 0.9383
Bi1 Bi 0.0000 0.4000 0.4615
S1 S 0.0000 0.4317 0.0355
S2 S 0.0000 0.6764 0.5681
S3 S 0.2403 0.7830 0.0276
```

No. 5
A relaxed structure of TbSn2Ir. Source: the Alexandria database, functional PBE.

Summary:
The total DFT energy (no corrections) comes out at -5.2821 eV per atom. The formation enthalpy at 0 K comes out at 0.092 eV/atom. The calculation puts the density of states at the Fermi level at 14.4 states/eV/cell.

The structure in CIF format:
```
data_TbSn2Ir
_chemical_formula_sum 'Tb3 Sn6 Ir3'
_symmetry_space_group_name_H-M 'R -3 m'
_symmetry_Int_Tables_number 166
_symmetry_space_group_name_Hall '-R 3 2"'
_cell_length_a 3.3316
_cell_length_b 3.3316
_cell_length_c 30.9160
_cell_angle_alpha 90.00
_cell_angle_beta 90.00
_cell_angle_gamma 120.00
loop_
_atom_site_label
_atom_site_type_symbol
_atom_site_fract_x
_atom_site_fract_y
_atom_site_fract_z
Tb1 Tb 0.0000 0.0000 0.0000
Sn1 Sn 0.0000 0.0000 0.1021
Ir1 Ir 0.0000 0.0000 0.5000
```

No. 6
A relaxed structure of TaFeSiOs. Source: the Alexandria database, functional PBE.

Summary:
The total DFT energy (no corrections) comes out at -9.5464 eV per atom. The uncorrected formation energy is -0.3043 eV per atom. The calculation puts the density of states at the Fermi level at 7.5 states/eV/cell.

The structure in CIF format:
```
data_TaFeSiOs
_chemical_formula_sum 'Ta4 Fe4 Si4 Os4'
_symmetry_space_group_name_H-M 'F -4 3 m'
_symmetry_Int_Tables_number 216
_symmetry_space_group_name_Hall 'F -4 2 3'
_cell_length_a 6.0504
_cell_length_b 6.0504
_cell_length_c 6.0504
_cell_angle_alpha 90.00
_cell_angle_beta 90.00
_cell_angle_gamma 90.00
loop_
_atom_site_label
_atom_site_type_symbol
_atom_site_fract_x
_atom_site_fract_y
_atom_site_fract_z
Ta1 Ta 0.0000 0.0000 0.0000
Fe1 Fe 0.2500 0.2500 0.7500
Si1 Si 0.0000 0.0000 0.5000
Os1 Os 0.2500 0.2500 0.2500
```

No. 7
A relaxed structure of ScCdTc. Source: the Alexandria database, functional PBE.

Summary:
The total DFT energy (no corrections) comes out at -5.7763 eV per atom. The formation enthalpy at 0 K comes out at 0.095 eV/atom. The calculation puts the density of states at the Fermi level at 15.5 states/eV/cell.

The structure in CIF format:
```
data_ScCdTc
_chemical_formula_sum 'Sc4 Cd4 Tc4'
_symmetry_space_group_name_H-M 'F m m 2'
_symmetry_Int_Tables_number 42
_symmetry_space_group_name_Hall 'F 2 -2'
_cell_length_a 3.4712
_cell_length_b 4.7228
_cell_length_c 13.7181
_cell_angle_alpha 90.00
_cell_angle_beta 90.00
_cell_angle_gamma 90.00
loop_
_atom_site_label
_atom_site_type_symbol
_atom_site_fract_x
_atom_site_fract_y
_atom_site_fract_z
Sc1 Sc 0.0000 0.0000 0.0000
Cd1 Cd 0.0000 0.0000 0.6885
Tc1 Tc 0.0000 0.0000 0.3551
```

No. 8
A relaxed structure of CeHAu. Source: the Alexandria database, functional PBE.

Summary:
The total DFT energy (no corrections) comes out at -4.6452 eV per atom. The calculation puts the density of states at the Fermi level at 206.5 states/eV/cell.

The structure in CIF format:
```
data_CeHAu
_chemical_formula_sum 'Ce32 H32 Au32'
_symmetry_space_group_name_H-M 'C 1 m 1'
_symmetry_Int_Tables_number 8
_cell_length_a 12.1842
_cell_length_b 15.7139
_cell_length_c 11.1390
_cell_angle_alpha 90.00
_cell_angle_beta 122.52
_cell_angle_gamma 90.00
loop_
_symmetry_equiv_pos_as_xyz
'x,y,z'
'x,-y,z'
'x+1/2,y+1/2,z'
'x+1/2,-y+1/2,z'
loop_
_atom_site_label
_atom_site_type_symbol
_atom_site_fract_x
_atom_site_fract_y
_atom_site_fract_z
Ce1 Ce 0.0000 0.0000 0.0000
Ce2 Ce 0.0057 0.1214 0.2905
Ce3 Ce 0.0083 0.2551 0.0410
Ce4 Ce 0.0166 0.3577 0.4414
Ce5 Ce 0.1603 0.1296 0.8530
Ce6 Ce 0.1850 0.3705 0.8596
Ce7 Ce 0.3093 0.5000 0.6510
Ce8 Ce 0.3400 0.2401 0.6711
Ce9 Ce 0.3817 0.0000 0.5523
Ce10 Ce 0.4451 0.0000 0.9087
H1 H 0.0402 0.0000 0.8181
H2 H 0.0551 0.2565 0.8598
H3 H 0.0593 0.5000 0.7937
H4 H 0.0764 0.5000 0.5592
H5 H 0.2209 0.3662 0.6631
H6 H 0.2427 0.0000 0.8636
H7 H 0.2782 0.5000 0.8423
H8 H 0.2882 0.2456 0.8481
H9 H 0.4146 0.3772 0.0351
H10 H 0.4631 0.5000 0.1739
H11 H 0.4798 0.1335 0.6361
Au1 Au 0.1379 0.5000 0.3408
Au2 Au 0.1922 0.0866 0.6088
Au3 Au 0.1974 0.2800 0.3582
Au4 Au 0.1995 0.4094 0.1475
Au5 Au 0.2248 0.0944 0.2383
Au6 Au 0.3001 0.2435 0.1466
Au7 Au 0.4060 0.5000 0.4263
Au8 Au 0.4094 0.0898 0.1274
Au9 Au 0.4653 0.3235 0.5354
```

No. 9
A relaxed structure of PaMn2Ge2. Source: the Alexandria database, functional PBE.

Summary:
The total DFT energy (no corrections) comes out at -7.6734 eV per atom. The formation enthalpy at 0 K comes out at -0.259 eV/atom. The calculation puts the density of states at the Fermi level at 15.8 states/eV/cell.

The structure in CIF format:
```
data_PaMn2Ge2
_chemical_formula_sum 'Pa4 Mn8 Ge8'
_symmetry_space_group_name_H-M 'F m m m'
_symmetry_Int_Tables_number 69
_symmetry_space_group_name_Hall '-F 2 2'
_cell_length_a 5.4881
_cell_length_b 6.6604
_cell_length_c 8.9543
_cell_angle_alpha 90.00
_cell_angle_beta 90.00
_cell_angle_gamma 90.00
loop_
_atom_site_label
_atom_site_type_symbol
_atom_site_fract_x
_atom_site_fract_y
_atom_site_fract_z
Pa1 Pa 0.0000 0.0000 0.0000
Mn1 Mn 0.0000 0.0000 0.3856
Ge1 Ge 0.2500 0.2500 0.2500
```

No. 10
A relaxed structure of NaSr2La. Source: the Alexandria database, functional PBE.

Summary:
The total DFT energy (no corrections) comes out at -2.1556 eV per atom. The formation enthalpy at 0 K comes out at 0.247 eV/atom. The calculation puts the density of states at the Fermi level at 21.2 states/eV/cell.

The structure in CIF format:
```
data_NaSr2La
_chemical_formula_sum 'Na4 Sr8 La4'
_symmetry_space_group_name_H-M 'F m -3 m'
_symmetry_Int_Tables_number 225
_symmetry_space_group_name_Hall '-F 4 2 3'
_cell_length_a 8.9605
_cell_length_b 8.9605
_cell_length_c 8.9605
_cell_angle_alpha 90.00
_cell_angle_beta 90.00
_cell_angle_gamma 90.00
loop_
_atom_site_label
_atom_site_type_symbol
_atom_site_fract_x
_atom_site_fract_y
_atom_site_fract_z
Na1 Na 0.0000 0.0000 0.0000
Sr1 Sr 0.2500 0.2500 0.2500
La1 La 0.0000 0.0000 0.5000
```

No. 11
A relaxed structure of Nd2Y2TmSc. Source: the Alexandria database, functional PBE.

Summary:
The total DFT energy (no corrections) comes out at -5.4842 eV per atom. The formation enthalpy at 0 K comes out at 0.060 eV/atom. The calculation puts the density of states at the Fermi level at 20.9 states/eV/cell.

The structure in CIF format:
```
data_Nd2Y2TmSc
_chemical_formula_sum 'Nd4 Y4 Tm2 Sc2'
_symmetry_space_group_name_H-M 'P m c 21'
_symmetry_Int_Tables_number 26
_cell_length_a 5.5655
_cell_length_b 9.6717
_cell_length_c 7.0293
_cell_angle_alpha 90.00
_cell_angle_beta 90.00
_cell_angle_gamma 90.00
loop_
_symmetry_equiv_pos_as_xyz
'x,y,z'
'-x,-y,z+1/2'
'-x,y,z'
'x,-y,z+1/2'
loop_
_atom_site_label
_atom_site_type_symbol
_atom_site_fract_x
_atom_site_fract_y
_atom_site_fract_z
Nd1 Nd 0.0000 0.1460 0.0000
Nd2 Nd 0.5000 0.3135 0.5005
Y1 Y 0.0000 0.4997 0.2502
Y2 Y 0.5000 0.3434 0.0002
Tm1 Tm 0.5000 0.0003 0.2502
Sc1 Sc 0.0000 0.1792 0.5003
```

No. 12
A relaxed structure of Sr2Mg4Au. Source: the Alexandria database, functional PBE.

Summary:
The total DFT energy (no corrections) comes out at -1.9564 eV per atom. The formation enthalpy at 0 K comes out at -0.096 eV/atom. The calculation puts the density of states at the Fermi level at 11.7 states/eV/cell.

The structure in CIF format:
```
data_Sr2Mg4Au
_chemical_formula_sum 'Sr4 Mg8 Au2'
_symmetry_space_group_name_H-M 'I 4/m m m'
_symmetry_Int_Tables_number 139
_symmetry_space_group_name_Hall '-I 4 2'
_cell_length_a 5.1500
_cell_length_b 5.1500
_cell_length_c 18.1512
_cell_angle_alpha 90.00
_cell_angle_beta 90.00
_cell_angle_gamma 90.00
loop_
_atom_site_label
_atom_site_type_symbol
_atom_site_fract_x
_atom_site_fract_y
_atom_site_fract_z
Sr1 Sr 0.0000 0.0000 0.1633
Mg1 Mg 0.0000 0.0000 0.3566
Mg2 Mg 0.0000 0.5000 0.0000
Au1 Au 0.0000 0.0000 0.5000
```